# 1
Crystalline SmEr4Pd5 at its relaxed geometry. Source: the Alexandria database, functional PBE.

Structure (POSCAR):
```
SmEr4Pd5
1.0
3.461 0.000 0.000
0.000 3.461 0.000
0.000 0.000 17.854
Sm Er Pd
1 4 5
Direct
0.000 0.000 0.000 Sm
0.000 0.000 0.204 Er
0.000 0.000 0.402 Er
0.000 0.000 0.598 Er
0.000 0.000 0.796 Er
0.500 0.500 0.109 Pd
0.500 0.500 0.303 Pd
0.500 0.500 0.500 Pd
0.500 0.500 0.697 Pd
0.500 0.500 0.891 Pd
```

Summary:
Calculated total energy in eV per atom: -5.7827
Space group: P4/mmm (123)


# 2
Crystalline Sm2Er5Pd4 at its relaxed geometry. Source: the Alexandria database, functional PBE.

Structure (POSCAR):
```
Sm2Er5Pd4
1.0
12.314 -1.799 0.000
12.314 1.799 0.000
-0.427 0.000 6.748
Sm Er Pd
2 5 4
Direct
0.093 0.093 0.179 Sm
0.907 0.907 0.821 Sm
0.133 0.133 0.687 Er
0.238 0.238 0.253 Er
0.500 0.500 0.500 Er
0.762 0.762 0.747 Er
0.867 0.867 0.313 Er
0.026 0.026 0.814 Pd
0.327 0.327 0.005 Pd
0.673 0.673 0.995 Pd
0.974 0.974 0.186 Pd
```

Summary:
Calculated total energy in eV per atom: -5.2362
Space group: C2/m (12)


# 3
Crystalline SmErPd2 at its relaxed geometry. Source: the Alexandria database, functional PBE.

Structure (POSCAR):
```
SmErPd2
1.0
4.567 0.000 0.000
0.000 1.887 5.306
0.000 -1.887 5.306
Sm Er Pd
1 1 2
Direct
0.000 0.000 0.000 Sm
0.500 0.275 0.275 Er
0.000 0.726 0.726 Pd
0.500 0.554 0.554 Pd
```

Summary:
ΔE to the lowest computed polymorph in meV per atom: 0
Space group: Amm2 (38)


# 4
Crystalline SmEr2Pd7 at its relaxed geometry. Source: the Alexandria database, functional PBE.

Structure (POSCAR):
```
SmEr2Pd7
1.0
3.602 -7.447 0.000
3.602 7.447 0.000
0.000 0.000 4.314
Sm Er Pd
1 2 7
Direct
0.000 0.000 0.000 Sm
0.303 0.697 0.500 Er
0.697 0.303 0.500 Er
0.085 0.288 0.500 Pd
0.190 0.810 0.000 Pd
0.288 0.085 0.500 Pd
0.500 0.500 0.500 Pd
0.712 0.915 0.500 Pd
0.810 0.190 0.000 Pd
0.915 0.712 0.500 Pd
```

Summary:
Calculated total energy in eV per atom: -5.3797
Space group: Cmmm (65)